# SiHgOs2, optimized geometry, DFT GGA-PBE
data_SiHgOs2
_space_group_name_H-M_alt 'P 1 2/m 1'
_space_group_IT_number 10
_cell_length_a 2.927
_cell_length_b 3.837
_cell_length_c 5.733
_cell_angle_alpha 90.00
_cell_angle_beta 102.58
_cell_angle_gamma 90.00
loop_
_space_group_symop_operation_xyz
'x,y,z'
'-x,-y,-z'
'-x,y,-z'
'x,-y,z'
loop_
_atom_site_label
_atom_site_fract_x
_atom_site_fract_y
_atom_site_fract_z
Si1 0.000 0.000 0.000
Hg1 0.000 0.000 0.500
Os1 0.355 0.500 0.209
# Formation energy without anion corrections   1.560 eV per formula unit
# Total moment   0.00 μB per formula unit
# Offset from the most stable computed form   0.131 eV per atom



# NaLi2Zn, optimized geometry, DFT GGA-PBE
data_NaLi2Zn
_space_group_name_H-M_alt 'P 4/m m m'
_space_group_IT_number 123
_space_group_name_Hall '-P 4 2'
_cell_length_a 4.462
_cell_length_b 4.462
_cell_length_c 4.138
_cell_angle_alpha 90.00
_cell_angle_beta 90.00
_cell_angle_gamma 90.00
loop_
_atom_site_label
_atom_site_fract_x
_atom_site_fract_y
_atom_site_fract_z
Na1 0.000 0.000 0.000
Li1 0.000 0.500 0.500
Zn1 0.500 0.500 0.000
# Total moment   0.00 μB per formula unit
# Calculated formation energy   0.03 eV/atom



# CeU2PaAs4, optimized geometry, DFT GGA-PBE
data_CeU2PaAs4
_space_group_name_H-M_alt 'P 1 2/m 1'
_space_group_IT_number 10
_cell_length_a 7.086
_cell_length_b 4.084
_cell_length_c 7.217
_cell_angle_alpha 90.00
_cell_angle_beta 109.02
_cell_angle_gamma 90.00
loop_
_space_group_symop_operation_xyz
'x,y,z'
'-x,-y,-z'
'-x,y,-z'
'x,-y,z'
loop_
_atom_site_label
_atom_site_fract_x
_atom_site_fract_y
_atom_site_fract_z
Ce1 0.000 0.000 0.000
U1 0.000 0.500 0.500
U2 0.500 0.000 0.500
Pa1 0.500 0.500 0.000
As1 0.253 0.000 0.748
As2 0.256 0.500 0.255
# Total moment   5.60 μB per formula unit
# Calculated formation energy   -0.97 eV/atom



# La2MoRu, optimized geometry, DFT GGA-PBE
data_La2MoRu
_space_group_name_H-M_alt 'I -4 2 d'
_space_group_IT_number 122
_space_group_name_Hall 'I -4 2bw'
_cell_length_a 7.752
_cell_length_b 7.752
_cell_length_c 6.324
_cell_angle_alpha 90.00
_cell_angle_beta 90.00
_cell_angle_gamma 90.00
loop_
_atom_site_label
_atom_site_fract_x
_atom_site_fract_y
_atom_site_fract_z
La1 0.225 0.750 0.125
Mo1 0.000 0.000 0.500
Ru1 0.000 0.000 0.000
# Total moment   1.97 μB per formula unit
# Offset from the most stable computed form   0.561 eV per atom
# Calculated formation energy   0.62 eV/atom